## CaNdHgRh (PBE)

Data for a relaxed CaNdHgRh crystal.

Structure (POSCAR):
```
CaNdHgRh
1.0
0.0000 3.6469 3.6469
3.6469 0.0000 3.6469
3.6469 3.6469 0.0000
Ca Nd Hg Rh
1 1 1 1
Direct
0.0000 0.0000 0.0000 Ca
0.5000 0.5000 0.5000 Nd
0.2500 0.2500 0.2500 Hg
0.7500 0.7500 0.7500 Rh
```

Values from the calculation:
DOS at the Fermi energy: 3.82 states/eV per cell
energy of formation: -0.47 eV/atom
calculated volume: 97.0 Å³/cell
space group: F-43m

---

## Na5B7C3 (PBE)

Data for a relaxed Na5B7C3 crystal.

Structure (POSCAR):
```
Na5B7C3
1.0
5.1003 0.0000 0.0000
-2.5501 7.1447 0.0000
-0.0025 -2.8539 8.5700
Na B C
10 14 6
Direct
0.0000 0.0000 0.0000 Na
0.0968 0.1959 0.4898 Na
0.1992 0.4015 0.0025 Na
0.2991 0.5988 0.4962 Na
0.4000 0.7994 0.0001 Na
0.4995 0.9960 0.4924 Na
0.6003 0.1982 0.9996 Na
0.6999 0.3972 0.4947 Na
0.8016 0.6006 0.0014 Na
0.8986 0.7976 0.4945 Na
0.0174 0.6893 0.7463 B
0.1165 0.8985 0.2471 B
0.1779 0.6874 0.2468 B
0.1881 0.1074 0.7481 B
0.2948 0.9055 0.7471 B
0.3793 0.4894 0.7464 B
0.3891 0.1099 0.2473 B
0.4975 0.2987 0.7478 B
0.5804 0.4991 0.2469 B
0.6264 0.9075 0.7475 B
0.6875 0.6911 0.7466 B
0.7627 0.8984 0.2473 B
0.8272 0.2985 0.7472 B
0.9799 0.2980 0.2472 B
0.0801 0.4935 0.7460 C
0.3229 0.3043 0.2473 C
0.5138 0.6961 0.2469 C
0.7164 0.1013 0.2478 C
0.8852 0.1034 0.7482 C
0.9170 0.4928 0.2464 C
```

Values from the calculation:
DOS at the Fermi energy: 4.19 states/eV per cell
ΔE to the lowest computed polymorph: 0.035 eV per atom
energy of formation: 0.15 eV/atom
calculated volume: 312.3 Å³/cell
space group: P1

---

## PrNdBr (PBE)

Data for a relaxed PrNdBr crystal.

Structure (POSCAR):
```
PrNdBr
1.0
3.8567 0.0000 0.0000
-1.9283 3.3400 0.0000
0.0000 0.0000 7.6642
Pr Nd Br
1 1 1
Direct
0.0000 0.0000 0.0000 Pr
0.3333 0.6667 0.6266 Nd
0.6667 0.3333 0.3172 Br
```

Values from the calculation:
DOS at the Fermi energy: 3.61 states/eV per cell
ΔE to the lowest computed polymorph: 0.011 eV per atom
calculated volume: 98.7 Å³/cell
space group: P3m1

---

## RbMnCo3 (PBE)

Data for a relaxed RbMnCo3 crystal.

Structure (POSCAR):
```
RbMnCo3
1.0
4.4327 0.0000 0.0000
0.0000 4.4327 0.0000
0.0000 0.0000 4.4327
Rb Mn Co
1 1 3
Direct
0.0000 0.0000 0.0000 Rb
0.5000 0.5000 0.5000 Mn
0.0000 0.5000 0.5000 Co
0.5000 0.0000 0.5000 Co
0.5000 0.5000 0.0000 Co
```

Values from the calculation:
DOS at the Fermi energy: 4.96 states/eV per cell
ΔE to the lowest computed polymorph: 0.000 eV per atom
energy of formation: 1.35 eV/atom
calculated volume: 87.1 Å³/cell
space group: Pm-3m

---

## MgSiSn2 (PBE)

Data for a relaxed MgSiSn2 crystal.

Structure (POSCAR):
```
MgSiSn2
1.0
-3.3625 3.3625 5.5287
3.3625 -3.3625 5.5287
3.3625 3.3625 -5.5287
Mg Si Sn
2 2 4
Direct
0.0000 0.0000 0.0000 Mg
0.7500 0.2500 0.5000 Mg
0.2500 0.7500 0.5000 Si
0.5000 0.5000 0.0000 Si
0.1587 0.6250 0.0337 Sn
0.3750 0.4087 0.5337 Sn
0.5913 0.1250 0.9663 Sn
0.8750 0.8413 0.4663 Sn
```

Values from the calculation:
DOS at the Fermi energy: 2.51 states/eV per cell
ΔE to the lowest computed polymorph: 0.061 eV per atom
calculated volume: 250.0 Å³/cell
space group: I-42d

---

## In4SnHg3 (PBE)

Data for a relaxed In4SnHg3 crystal.

Structure (POSCAR):
```
In4SnHg3
1.0
8.6992 0.0000 0.0000
0.0000 9.1903 0.0000
0.0000 0.0000 6.2178
In Sn Hg
8 2 6
Direct
0.0000 0.1503 0.0000 In
0.0000 0.8453 0.5019 In
0.2377 0.3509 0.2680 In
0.2623 0.6491 0.7680 In
0.5000 0.1547 0.0019 In
0.5000 0.8497 0.5000 In
0.7377 0.6491 0.7680 In
0.7623 0.3509 0.2680 In
0.0000 0.8239 0.9984 Sn
0.5000 0.1761 0.4984 Sn
0.0000 0.1586 0.5036 Hg
0.2454 0.3352 0.7734 Hg
0.2546 0.6648 0.2734 Hg
0.5000 0.8414 0.0036 Hg
0.7454 0.6648 0.2734 Hg
0.7546 0.3352 0.7734 Hg
```

Values from the calculation:
DOS at the Fermi energy: 6.87 states/eV per cell
ΔE to the lowest computed polymorph: 0.058 eV per atom
energy of formation: 0.08 eV/atom
calculated volume: 497.1 Å³/cell
space group: Pmn2_1

---

## Li2ZrTlO (PBE)

Data for a relaxed Li2ZrTlO crystal.

Structure (POSCAR):
```
Li2ZrTlO
1.0
4.3245 0.0000 0.0000
0.0000 4.3245 0.0000
0.0000 0.0000 4.2772
Li Zr Tl O
2 1 1 1
Direct
0.0000 0.5000 0.0000 Li
0.5000 0.0000 0.0000 Li
0.0000 0.0000 0.5000 Zr
0.5000 0.5000 0.5000 Tl
0.0000 0.0000 0.0000 O
```

Values from the calculation:
DOS at the Fermi energy: 2.12 states/eV per cell
calculated volume: 80.0 Å³/cell
final energy: -25.3 eV for the cell shown
space group: P4/mmm

---

## NaSbAu2 (PBE)

Data for a relaxed NaSbAu2 crystal.

Structure (POSCAR):
```
NaSbAu2
1.0
2.0972 1.2108 6.7618
-2.0972 1.2108 6.7618
0.0000 -2.4216 6.7618
Na Sb Au
1 1 2
Direct
0.0000 0.0000 0.0000 Na
0.8289 0.8289 0.8289 Sb
0.4248 0.4248 0.4248 Au
0.5730 0.5730 0.5730 Au
```

Values from the calculation:
DOS at the Fermi energy: 1.78 states/eV per cell
calculated volume: 103.0 Å³/cell
final energy: -11.9 eV for the cell shown
space group: R3m

---

## Li2CaY2 (PBE)

Data for a relaxed Li2CaY2 crystal.

Structure (POSCAR):
```
Li2CaY2
1.0
9.0526 0.0000 0.0000
0.0000 9.0526 0.0000
0.0000 0.0000 3.5721
Li Ca Y
4 2 4
Direct
0.1430 0.3570 0.0000 Li
0.3570 0.8570 0.0000 Li
0.6430 0.1430 0.0000 Li
0.8570 0.6430 0.0000 Li
0.0000 0.0000 0.0000 Ca
0.5000 0.5000 0.0000 Ca
0.1487 0.6487 0.5000 Y
0.3513 0.1487 0.5000 Y
0.6487 0.8513 0.5000 Y
0.8513 0.3513 0.5000 Y
```

Values from the calculation:
DOS at the Fermi energy: 12.74 states/eV per cell
ΔE to the lowest computed polymorph: 0.000 eV per atom
energy of formation: 0.19 eV/atom
calculated volume: 292.7 Å³/cell
space group: P4/mbm

---

## TbPdCl (PBE)

Data for a relaxed TbPdCl crystal.

Structure (POSCAR):
```
TbPdCl
1.0
10.7676 -1.9637 0.0000
10.7676 1.9637 0.0000
-0.6134 0.0000 7.6282
Tb Pd Cl
4 4 4
Direct
0.1511 0.1511 0.0969 Tb
0.1553 0.1553 0.6127 Tb
0.8447 0.8447 0.3873 Tb
0.8489 0.8489 0.9031 Tb
0.2498 0.2498 0.3751 Pd
0.2560 0.2560 0.8766 Pd
0.7440 0.7440 0.1234 Pd
0.7502 0.7502 0.6249 Pd
0.0674 0.0674 0.3392 Cl
0.4102 0.4102 0.1570 Cl
0.5898 0.5898 0.8430 Cl
0.9326 0.9326 0.6608 Cl
```

Values from the calculation:
DOS at the Fermi energy: 5.82 states/eV per cell
calculated volume: 322.6 Å³/cell
final energy: -61.9 eV for the cell shown
space group: C2/m

---

## SmHf4Ru5 (PBE)

Data for a relaxed SmHf4Ru5 crystal.

Structure (POSCAR):
```
SmHf4Ru5
1.0
3.2697 0.0000 0.0000
0.0000 3.2697 0.0000
0.0000 0.0000 16.6468
Sm Hf Ru
1 4 5
Direct
0.0000 0.0000 0.0000 Sm
0.0000 0.0000 0.2063 Hf
0.0000 0.0000 0.4022 Hf
0.0000 0.0000 0.5978 Hf
0.0000 0.0000 0.7937 Hf
0.5000 0.5000 0.1176 Ru
0.5000 0.5000 0.3078 Ru
0.5000 0.5000 0.5000 Ru
0.5000 0.5000 0.6922 Ru
0.5000 0.5000 0.8824 Ru
```

Values from the calculation:
DOS at the Fermi energy: 3.11 states/eV per cell
energy of formation: -0.69 eV/atom
calculated volume: 178.0 Å³/cell
space group: P4/mmm

---

## SrAl3Pd3 (PBE)

Data for a relaxed SrAl3Pd3 crystal.

Structure (POSCAR):
```
SrAl3Pd3
1.0
6.8568 0.0000 0.0000
0.0000 6.8568 0.0000
0.0000 0.0000 6.8568
Sr Al Pd
2 6 6
Direct
0.0000 0.0000 0.0000 Sr
0.5000 0.5000 0.5000 Sr
0.0000 0.2500 0.5000 Al
0.0000 0.7500 0.5000 Al
0.2500 0.5000 0.0000 Al
0.5000 0.0000 0.2500 Al
0.5000 0.0000 0.7500 Al
0.7500 0.5000 0.0000 Al
0.0000 0.5000 0.2500 Pd
0.0000 0.5000 0.7500 Pd
0.2500 0.0000 0.5000 Pd
0.5000 0.2500 0.0000 Pd
0.5000 0.7500 0.0000 Pd
0.7500 0.0000 0.5000 Pd
```

Values from the calculation:
DOS at the Fermi energy: 8.82 states/eV per cell
ΔE to the lowest computed polymorph: 0.097 eV per atom
energy of formation: -0.49 eV/atom
calculated volume: 322.4 Å³/cell
space group: Pm-3n